(1)
Compound: Fe2As
Source: OQMD
Functional: PBE-GGA
Structure: relaxed

```
data_Fe2As
_chemical_formula_sum 'Fe4 As2'
_cell_length_a 4.850
_cell_length_b 4.850
_cell_length_c 4.850
_cell_angle_alpha 60.00
_cell_angle_beta 60.00
_cell_angle_gamma 60.00
_symmetry_space_group_name_H-M 'P 1'
_symmetry_Int_Tables_number 1
_symmetry_space_group_name_Hall 'P 1'
loop_
_atom_site_label
_atom_site_type_symbol
_atom_site_fract_x
_atom_site_fract_y
_atom_site_fract_z
_atom_site_occupancy
As1 As 0.000 0.000 0.000 1
As2 As 0.250 0.250 0.250 1
Fe1 Fe 0.625 0.625 0.125 1
Fe2 Fe 0.625 0.125 0.625 1
Fe3 Fe 0.125 0.625 0.625 1
Fe4 Fe 0.625 0.625 0.625 1
```

symmetry = Fd-3m, No. 227
electronic total energy = -6.809 eV/atom
theoretical density = 7.68 g/cm3

(2)
Compound: FeAs2
Source: OQMD
Functional: PBE-GGA
Structure: relaxed

```
data_FeAs2
_chemical_formula_sum 'Fe2 As4'
_cell_length_a 5.379
_cell_length_b 5.379
_cell_length_c 5.379
_cell_angle_alpha 60.00
_cell_angle_beta 60.00
_cell_angle_gamma 60.00
_symmetry_space_group_name_H-M 'P 1'
_symmetry_Int_Tables_number 1
_symmetry_space_group_name_Hall 'P 1'
loop_
_atom_site_label
_atom_site_type_symbol
_atom_site_fract_x
_atom_site_fract_y
_atom_site_fract_z
_atom_site_occupancy
As1 As 0.625 0.625 0.125 1
As2 As 0.625 0.125 0.625 1
As3 As 0.125 0.625 0.625 1
As4 As 0.625 0.625 0.625 1
Fe1 Fe 0.000 0.000 0.000 1
Fe2 Fe 0.250 0.250 0.250 1
```

symmetry = Fd-3m, No. 227
electronic total energy = -5.005 eV/atom
theoretical density = 6.21 g/cm3

(3)
Compound: FeAs2
Source: OQMD
Functional: PBE-GGA
Structure: relaxed

```
data_FeAs2
_chemical_formula_sum 'Fe2 As4'
_cell_length_a 6.954
_cell_length_b 6.954
_cell_length_c 6.954
_cell_angle_alpha 60.00
_cell_angle_beta 60.00
_cell_angle_gamma 60.00
_symmetry_space_group_name_H-M 'P 1'
_symmetry_Int_Tables_number 1
_symmetry_space_group_name_Hall 'P 1'
loop_
_atom_site_label
_atom_site_type_symbol
_atom_site_fract_x
_atom_site_fract_y
_atom_site_fract_z
_atom_site_occupancy
As1 As 0.375 0.875 0.375 1
As2 As 0.875 0.375 0.375 1
As3 As 0.375 0.375 0.375 1
As4 As 0.375 0.375 0.875 1
Fe1 Fe 0.250 0.250 0.250 1
Fe2 Fe 0.500 0.500 0.500 1
```

symmetry = Fd-3m, No. 227
electronic total energy = -5.545 eV/atom
theoretical density = 2.87 g/cm3

(4)
Compound: FeAs2
Source: OQMD
Functional: PBE-GGA
Structure: relaxed

```
data_FeAs2
_chemical_formula_sum 'Fe1 As2'
_cell_length_a 4.403
_cell_length_b 4.403
_cell_length_c 4.403
_cell_angle_alpha 140.55
_cell_angle_beta 103.94
_cell_angle_gamma 89.25
_symmetry_space_group_name_H-M 'P 1'
_symmetry_Int_Tables_number 1
_symmetry_space_group_name_Hall 'P 1'
loop_
_atom_site_label
_atom_site_type_symbol
_atom_site_fract_x
_atom_site_fract_y
_atom_site_fract_z
_atom_site_occupancy
As1 As 0.897 0.668 0.229 1
As2 As 0.439 0.668 0.771 1
Fe1 Fe 0.000 0.000 0.000 1
```

symmetry = Imm2, No. 44
electronic total energy = -5.839 eV/atom
theoretical density = 6.76 g/cm3

(5)
Compound: FeAs2
Source: OQMD
Functional: PBE-GGA
Structure: relaxed

```
data_FeAs2
_chemical_formula_sum 'Fe1 As2'
_cell_length_a 4.098
_cell_length_b 4.098
_cell_length_c 4.098
_cell_angle_alpha 130.27
_cell_angle_beta 115.51
_cell_angle_gamma 85.58
_symmetry_space_group_name_H-M 'P 1'
_symmetry_Int_Tables_number 1
_symmetry_space_group_name_Hall 'P 1'
loop_
_atom_site_label
_atom_site_type_symbol
_atom_site_fract_x
_atom_site_fract_y
_atom_site_fract_z
_atom_site_occupancy
As1 As 0.725 0.225 0.500 1
As2 As 0.275 0.775 0.500 1
Fe1 Fe 0.000 0.000 0.000 1
```

symmetry = Immm, No. 71
electronic total energy = -5.818 eV/atom
theoretical density = 7.54 g/cm3

(6)
Compound: GaFe2As
Source: OQMD
Functional: PBE-GGA
Structure: relaxed

```
data_GaFe2As
_chemical_formula_sum 'Ga4 Fe8 As4'
_cell_length_a 5.797
_cell_length_b 5.797
_cell_length_c 5.797
_cell_angle_alpha 90.00
_cell_angle_beta 90.00
_cell_angle_gamma 90.00
_symmetry_space_group_name_H-M 'P 1'
_symmetry_Int_Tables_number 1
_symmetry_space_group_name_Hall 'P 1'
loop_
_atom_site_label
_atom_site_type_symbol
_atom_site_fract_x
_atom_site_fract_y
_atom_site_fract_z
_atom_site_occupancy
As1 As 0.500 0.500 0.000 1
As2 As 0.500 0.000 0.500 1
As3 As 0.000 0.500 0.500 1
As4 As 0.500 0.500 0.500 1
Fe1 Fe 0.255 0.255 0.255 1
Fe2 Fe 0.745 0.255 0.255 1
Fe3 Fe 0.255 0.745 0.255 1
Fe4 Fe 0.745 0.745 0.255 1
Fe5 Fe 0.255 0.255 0.745 1
Fe6 Fe 0.745 0.255 0.745 1
Fe7 Fe 0.255 0.745 0.745 1
Fe8 Fe 0.745 0.745 0.745 1
Ga1 Ga 0.000 0.000 0.000 1
Ga2 Ga 0.500 0.000 0.000 1
Ga3 Ga 0.000 0.500 0.000 1
Ga4 Ga 0.000 0.000 0.500 1
```

symmetry = Pm-3m, No. 221
energy above the most stable polymorph in this dataset = 0 meV/atom
theoretical density = 8.74 g/cm3

(7)
Compound: GaFeAs
Source: OQMD
Functional: PBE-GGA
Structure: relaxed

```
data_GaFeAs
_chemical_formula_sum 'Ga1 Fe1 As1'
_cell_length_a 4.194
_cell_length_b 4.194
_cell_length_c 4.194
_cell_angle_alpha 60.00
_cell_angle_beta 60.00
_cell_angle_gamma 60.00
_symmetry_space_group_name_H-M 'P 1'
_symmetry_Int_Tables_number 1
_symmetry_space_group_name_Hall 'P 1'
loop_
_atom_site_label
_atom_site_type_symbol
_atom_site_fract_x
_atom_site_fract_y
_atom_site_fract_z
_atom_site_occupancy
As1 As 0.000 0.000 0.000 1
Fe1 Fe 0.250 0.250 0.250 1
Ga1 Ga 0.750 0.750 0.750 1
```

symmetry = F-43m, No. 216
energy above the most stable polymorph in this dataset = 345 meV/atom
theoretical density = 6.38 g/cm3

(8)
Compound: GaFeAs
Source: OQMD
Functional: PBE-GGA
Structure: relaxed

```
data_GaFeAs
_chemical_formula_sum 'Ga1 Fe1 As1'
_cell_length_a 4.044
_cell_length_b 4.044
_cell_length_c 4.044
_cell_angle_alpha 60.00
_cell_angle_beta 60.00
_cell_angle_gamma 60.00
_symmetry_space_group_name_H-M 'P 1'
_symmetry_Int_Tables_number 1
_symmetry_space_group_name_Hall 'P 1'
loop_
_atom_site_label
_atom_site_type_symbol
_atom_site_fract_x
_atom_site_fract_y
_atom_site_fract_z
_atom_site_occupancy
As1 As 0.250 0.250 0.250 1
Fe1 Fe 0.000 0.000 0.000 1
Ga1 Ga 0.750 0.750 0.750 1
```

symmetry = F-43m, No. 216
energy above the most stable polymorph in this dataset = 0 meV/atom
theoretical density = 7.12 g/cm3

(9)
Compound: GdFe2As2
Source: OQMD
Functional: PBE-GGA
Structure: relaxed

```
data_GdFe2As2
_chemical_formula_sum 'Gd2 Fe4 As4'
_cell_length_a 4.107
_cell_length_b 4.107
_cell_length_c 9.396
_cell_angle_alpha 90.00
_cell_angle_beta 90.00
_cell_angle_gamma 90.00
_symmetry_space_group_name_H-M 'P 1'
_symmetry_Int_Tables_number 1
_symmetry_space_group_name_Hall 'P 1'
loop_
_atom_site_label
_atom_site_type_symbol
_atom_site_fract_x
_atom_site_fract_y
_atom_site_fract_z
_atom_site_occupancy
As1 As 0.500 0.000 0.130 1
As2 As 0.000 0.000 0.500 1
As3 As 0.500 0.500 0.500 1
As4 As 0.000 0.500 0.870 1
Fe1 Fe 0.000 0.000 0.000 1
Fe2 Fe 0.500 0.500 0.000 1
Fe3 Fe 0.500 0.000 0.378 1
Fe4 Fe 0.000 0.500 0.622 1
Gd1 Gd 0.000 0.500 0.254 1
Gd2 Gd 0.500 0.000 0.746 1
```

symmetry = P4/nmm, No. 129
electronic total energy = -6.678 eV/atom
theoretical density = 8.78 g/cm3

(10)
Compound: Fe2GeAs
Source: OQMD
Functional: PBE-GGA
Structure: relaxed

```
data_Fe2GeAs
_chemical_formula_sum 'Fe8 Ge4 As4'
_cell_length_a 5.834
_cell_length_b 5.834
_cell_length_c 5.834
_cell_angle_alpha 90.00
_cell_angle_beta 90.00
_cell_angle_gamma 90.00
_symmetry_space_group_name_H-M 'P 1'
_symmetry_Int_Tables_number 1
_symmetry_space_group_name_Hall 'P 1'
loop_
_atom_site_label
_atom_site_type_symbol
_atom_site_fract_x
_atom_site_fract_y
_atom_site_fract_z
_atom_site_occupancy
As1 As 0.000 0.000 0.000 1
As2 As 0.500 0.000 0.000 1
As3 As 0.000 0.500 0.000 1
As4 As 0.000 0.000 0.500 1
Fe1 Fe 0.249 0.249 0.249 1
Fe2 Fe 0.751 0.249 0.249 1
Fe3 Fe 0.249 0.751 0.249 1
Fe4 Fe 0.751 0.751 0.249 1
Fe5 Fe 0.249 0.249 0.751 1
Fe6 Fe 0.751 0.249 0.751 1
Fe7 Fe 0.249 0.751 0.751 1
Fe8 Fe 0.751 0.751 0.751 1
Ge1 Ge 0.500 0.500 0.000 1
Ge2 Ge 0.500 0.000 0.500 1
Ge3 Ge 0.000 0.500 0.500 1
Ge4 Ge 0.500 0.500 0.500 1
```

symmetry = Pm-3m, No. 221
electronic total energy = -6.377 eV/atom
theoretical density = 8.67 g/cm3

(11)
Compound: FeGeAs2
Source: OQMD
Functional: PBE-GGA
Structure: relaxed

```
data_FeGeAs2
_chemical_formula_sum 'Fe1 Ge1 As2'
_cell_length_a 4.565
_cell_length_b 4.565
_cell_length_c 4.565
_cell_angle_alpha 60.00
_cell_angle_beta 60.00
_cell_angle_gamma 60.00
_symmetry_space_group_name_H-M 'P 1'
_symmetry_Int_Tables_number 1
_symmetry_space_group_name_Hall 'P 1'
loop_
_atom_site_label
_atom_site_type_symbol
_atom_site_fract_x
_atom_site_fract_y
_atom_site_fract_z
_atom_site_occupancy
As1 As 0.000 0.000 0.000 1
As2 As 0.750 0.750 0.750 1
Fe1 Fe 0.250 0.250 0.250 1
Ge1 Ge 0.500 0.500 0.500 1
```

symmetry = F-43m, No. 216
electronic total energy = -5.063 eV/atom
theoretical density = 6.87 g/cm3

(12)
Compound: NaFeGeAs
Source: OQMD
Functional: PBE-GGA
Structure: relaxed

```
data_NaFeGeAs
_chemical_formula_sum 'Na1 Fe1 Ge1 As1'
_cell_length_a 4.664
_cell_length_b 4.664
_cell_length_c 4.664
_cell_angle_alpha 60.00
_cell_angle_beta 60.00
_cell_angle_gamma 60.00
_symmetry_space_group_name_H-M 'P 1'
_symmetry_Int_Tables_number 1
_symmetry_space_group_name_Hall 'P 1'
loop_
_atom_site_label
_atom_site_type_symbol
_atom_site_fract_x
_atom_site_fract_y
_atom_site_fract_z
_atom_site_occupancy
As1 As 0.250 0.250 0.250 1
Fe1 Fe 0.500 0.500 0.500 1
Ge1 Ge 0.000 0.000 0.000 1
Na1 Na 0.750 0.750 0.750 1
```

symmetry = F-43m, No. 216
energy above the most stable polymorph in this dataset = 220 meV/atom
theoretical density = 5.24 g/cm3